Record 1
# Ac8CoPd3I4 (PBE-GGA, relaxed)
data_Ac8CoPd3I4
_cell_length_a 15.3672
_cell_length_b 8.8835
_cell_length_c 10.0534
_cell_angle_alpha 90.00
_cell_angle_beta 120.68
_cell_angle_gamma 90.00
_symmetry_space_group_name_H-M 'C 1 2/m 1'
_symmetry_Int_Tables_number 12
loop_
_symmetry_equiv_pos_as_xyz
'x,y,z'
'-x,-y,-z'
'-x,y,-z'
'x,-y,z'
'x+1/2,y+1/2,z'
'-x+1/2,-y+1/2,-z'
'-x+1/2,y+1/2,-z'
'x+1/2,-y+1/2,z'
loop_
_atom_site_label
_atom_site_fract_x
_atom_site_fract_y
_atom_site_fract_z
_atom_site_occupancy
Ac1 0.0185 0.2394 0.3153 1
Ac2 0.2205 0.0000 0.6842 1
Ac3 0.2289 0.5000 0.6879 1
Co1 0.0000 0.0000 0.5000 1
Pd1 0.0000 0.5000 0.5000 1
Pd2 0.2500 0.2500 0.5000 1
I1 0.0000 0.0000 0.0000 1
I2 0.0000 0.5000 0.0000 1
I3 0.2500 0.2500 0.0000 1
# Mass density in g/cm3: 7.6
# Density of states at the Fermi level in states/eV/f.u.: 11.075
# E_tot in eV/cell: -152.00


Record 2
# BaGaAg3 (PBE-GGA, relaxed)
data_BaGaAg3
_cell_length_a 4.9446
_cell_length_b 4.9448
_cell_length_c 6.1272
_cell_angle_alpha 112.46
_cell_angle_beta 112.50
_cell_angle_gamma 92.98
_symmetry_space_group_name_H-M 'P 1'
_symmetry_Int_Tables_number 1
loop_
_symmetry_equiv_pos_as_xyz
'x,y,z'
loop_
_atom_site_label
_atom_site_fract_x
_atom_site_fract_y
_atom_site_fract_z
_atom_site_occupancy
Ba1 0.0000 0.0000 0.0000 1
Ga1 0.6443 0.6471 0.2897 1
Ag1 0.2422 0.7427 0.4859 1
Ag2 0.3849 0.3854 0.7710 1
Ag3 0.7422 0.2452 0.4858 1
# Formation enthalpy at 0 K in eV/atom: -0.225
# Mass density in g/cm3: 7.1
# E above lowest polymorph in eV/f.u.: 0.00
# Density of states at the Fermi level in states/eV/f.u.: 2.387
# E_tot in eV/cell: -14.63


Record 3
# Ba3Li5Cd6 (PBE-GGA, relaxed)
data_Ba3Li5Cd6
_cell_length_a 5.0443
_cell_length_b 14.7122
_cell_length_c 10.5420
_cell_angle_alpha 90.00
_cell_angle_beta 90.00
_cell_angle_gamma 90.00
_symmetry_space_group_name_H-M 'P m m n'
_symmetry_Int_Tables_number 59
loop_
_symmetry_equiv_pos_as_xyz
'x,y,z'
'-x,-y,-z'
'-x+1/2,-y+1/2,z'
'x+1/2,y+1/2,-z'
'x+1/2,-y,-z'
'-x+1/2,y,z'
'-x,y+1/2,-z'
'x,-y+1/2,z'
loop_
_atom_site_label
_atom_site_fract_x
_atom_site_fract_y
_atom_site_fract_z
_atom_site_occupancy
Ba1 0.2500 0.0562 0.2467 1
Ba2 0.2500 0.7500 0.2610 1
Li1 0.2500 0.0709 0.9012 1
Li2 0.2500 0.6298 0.5406 1
Li3 0.2500 0.7500 0.7614 1
Cd1 0.2500 0.0714 0.5925 1
Cd2 0.2500 0.2500 0.0241 1
Cd3 0.2500 0.2500 0.4520 1
Cd4 0.2500 0.6254 0.9752 1
# Formation enthalpy at 0 K in eV/atom: -0.223
# Mass density in g/cm3: 4.8
# Density of states at the Fermi level in states/eV/f.u.: 10.077
# E_tot in eV/cell: -47.89